VASP calculation (GGA-PBE) on an optimized crystal structure of TbTm5Pb5.

```
TbTm5Pb5
1.0
6.2197 0.0000 0.0000
-3.1099 7.7615 0.6077
0.0000 -2.1938 6.9776
Pb Tm Tb
5 5 1
Direct
0.1697 0.3394 0.8209 Pb
0.8316 0.6633 0.6581 Pb
0.1684 0.3367 0.3419 Pb
0.5000 0.0000 0.0000 Pb
0.8303 0.6606 0.1791 Pb
0.3439 0.6878 0.6616 Tm
0.6651 0.3301 0.8369 Tm
0.3349 0.6699 0.1631 Tm
0.6561 0.3122 0.3384 Tm
0.0000 0.0000 0.5000 Tm
0.0000 0.0000 0.0000 Tb
```

Fermi-level density of states (states/eV/cell): 8.4
DFT total energy (eV/atom): -4.36
ΔH_f (0 K) (eV/atom): -0.222
Symmetry: C2/m